DFT (GGA-PBE) results for a relaxed structure of BeAlPb.

Cell: 3.614 3.614 10.860 Å, 90.00 90.00 120.00°
Sites, in units of the cell vectors:
Pb 0.667 0.333 0.116
Pb 0.000 0.000 0.846
Be 0.667 0.333 0.453
Be 0.333 0.667 0.459
Al 0.000 0.000 0.334
Al 0.000 0.000 0.582

Summary:
The calculation puts the calculated formation energy at 0.15 eV/atom. The calculation puts the theoretical density at 6.58 g cm⁻³. The calculation puts the total energy at -3.57 eV/atom. The symmetry is P3m1.